Here is a geometry-optimized Y2CdAu2 structure from Alexandria. Energies are from PBE.

Structure (extended XYZ):
```
5
Lattice="-1.947 1.947 8.409 1.947 -1.947 8.409 1.947 1.947 -8.409" Properties=species:S:1:pos:R:3 pbc="T T T"
Y 0.000 0.000 1.850
Y 0.000 0.000 14.969
Cd 0.000 0.000 8.409
Au 1.947 0.000 4.205
Au 0.000 1.947 4.205
```

Properties
**Symmetry**: I4/mmm, No. 139
**Fermi-level density of states**: 2.15 states/eV/f.u.
**Formation energy**: -386 meV per atom